[1]
{
  "formula": "KTbSeO",
  "functional": "PBE",
  "state": "optimized geometry",
  "lattice": [[7.805, 0.000, 0.000], [0.000, 7.479, 0.000], [-1.468, 0.000, 6.400]],
  "species": ["K", "K", "K", "K", "Tb", "Tb", "Tb", "Tb", "Se", "Se", "Se", "Se", "O", "O", "O", "O"],
  "frac_coords": [[0.092, 0.233, 0.000], [0.092, 0.267, 0.500], [0.908, 0.733, 0.500], [0.908, 0.767, 0.000], [0.473, 0.626, 0.277], [0.473, 0.874, 0.777], [0.527, 0.126, 0.223], [0.527, 0.374, 0.723], [0.240, 0.589, 0.848], [0.240, 0.911, 0.348], [0.760, 0.089, 0.652], [0.760, 0.411, 0.152], [0.404, 0.149, 0.881], [0.404, 0.351, 0.381], [0.596, 0.649, 0.619], [0.596, 0.851, 0.119]],
  "e_tot_ev_per_atom": -5.81,
  "relative_energy_ev_per_atom": 0.000,
  "magmom_total_mub_per_cell": 0.0
}



[2]
{
  "formula": "GdScAu3",
  "functional": "PBE",
  "state": "optimized geometry",
  "lattice": [[5.017, 0.000, 0.000], [0.000, 5.017, 0.000], [0.000, 0.000, 5.017]],
  "species": ["Gd", "Sc", "Au", "Au", "Au"],
  "frac_coords": [[0.000, 0.000, 0.000], [0.500, 0.500, 0.500], [0.000, 0.500, 0.500], [0.500, 0.000, 0.500], [0.500, 0.500, 0.000]],
  "e_tot_ev_per_atom": -4.31,
  "formation_enthalpy_0k_ev_per_atom": -0.150,
  "magmom_total_mub_per_cell": 0.0
}



[3]
{
  "formula": "BeZnSO",
  "functional": "PBE",
  "state": "optimized geometry",
  "lattice": [[5.306, 0.000, 0.000], [0.000, 7.609, 0.000], [0.000, 0.000, 12.355]],
  "species": ["Be", "Be", "Be", "Be", "Be", "Be", "Be", "Be", "Zn", "Zn", "Zn", "Zn", "Zn", "Zn", "Zn", "Zn", "S", "S", "S", "S", "S", "S", "S", "S", "O", "O", "O", "O", "O", "O", "O", "O"],
  "frac_coords": [[0.104, 0.147, 0.208], [0.104, 0.353, 0.708], [0.396, 0.647, 0.208], [0.396, 0.853, 0.708], [0.604, 0.147, 0.292], [0.604, 0.353, 0.792], [0.896, 0.647, 0.292], [0.896, 0.853, 0.792], [0.194, 0.147, 0.444], [0.194, 0.353, 0.944], [0.306, 0.647, 0.444], [0.306, 0.853, 0.944], [0.694, 0.147, 0.056], [0.694, 0.353, 0.556], [0.806, 0.647, 0.056], [0.806, 0.853, 0.556], [0.244, 0.609, 0.053], [0.244, 0.891, 0.553], [0.256, 0.109, 0.053], [0.256, 0.391, 0.553], [0.744, 0.609, 0.447], [0.744, 0.891, 0.947], [0.756, 0.109, 0.447], [0.756, 0.391, 0.947], [0.186, 0.658, 0.292], [0.186, 0.842, 0.792], [0.314, 0.158, 0.292], [0.314, 0.342, 0.792], [0.686, 0.658, 0.208], [0.686, 0.842, 0.708], [0.814, 0.158, 0.208], [0.814, 0.342, 0.708]],
  "e_tot_ev_per_atom": -4.97,
  "relative_energy_ev_per_atom": 0.054
}



[4]
{
  "formula": "Lu2Te2O5",
  "functional": "PBE",
  "state": "optimized geometry",
  "lattice": [[4.065, 0.000, 0.000], [0.000, 4.065, 0.000], [0.000, 0.000, 7.498]],
  "species": ["Lu", "Lu", "Te", "Te", "O", "O", "O", "O", "O"],
  "frac_coords": [[0.000, 0.000, 0.000], [0.000, 0.000, 0.500], [0.500, 0.500, 0.206], [0.500, 0.500, 0.794], [0.000, 0.500, 0.303], [0.000, 0.500, 0.697], [0.500, 0.000, 0.303], [0.500, 0.000, 0.697], [0.500, 0.500, 0.500]],
  "e_tot_ev_per_atom": -5.62,
  "relative_energy_ev_per_atom": 0.883,
  "magmom_total_mub_per_cell": 0.0
}



[5]
{
  "formula": "Hf2Re2O5",
  "functional": "PBE",
  "state": "optimized geometry",
  "lattice": [[3.778, 0.000, 0.000], [0.000, 3.778, 0.000], [0.000, 0.000, 7.021]],
  "species": ["Hf", "Hf", "Re", "Re", "O", "O", "O", "O", "O"],
  "frac_coords": [[0.000, 0.000, 0.000], [0.000, 0.000, 0.500], [0.500, 0.500, 0.183], [0.500, 0.500, 0.817], [0.000, 0.500, 0.283], [0.000, 0.500, 0.717], [0.500, 0.000, 0.283], [0.500, 0.000, 0.717], [0.500, 0.500, 0.500]],
  "e_tot_ev_per_atom": -8.96,
  "relative_energy_ev_per_atom": 0.239,
  "magmom_total_mub_per_cell": 0.0
}



[6]
{
  "formula": "Zn2Os",
  "functional": "PBE",
  "state": "optimized geometry",
  "lattice": [[0.000, 3.435, 3.435], [3.435, 0.000, 3.435], [3.435, 3.435, 0.000]],
  "species": ["Zn", "Zn", "Zn", "Zn", "Os", "Os"],
  "frac_coords": [[0.000, 0.000, 0.000], [0.000, 0.000, 0.500], [0.000, 0.500, 0.000], [0.500, 0.000, 0.000], [0.375, 0.375, 0.375], [0.625, 0.625, 0.625]],
  "e_tot_ev_per_atom": -4.24,
  "formation_enthalpy_0k_ev_per_atom": 0.349,
  "magmom_total_mub_per_cell": 1.2
}



[7]
{
  "formula": "CuReAgIr",
  "functional": "PBE",
  "state": "optimized geometry",
  "lattice": [[0.000, 3.086, 3.086], [3.086, 0.000, 3.086], [3.086, 3.086, 0.000]],
  "species": ["Cu", "Re", "Ag", "Ir"],
  "frac_coords": [[0.000, 0.000, 0.000], [0.250, 0.250, 0.250], [0.750, 0.750, 0.750], [0.500, 0.500, 0.500]],
  "e_tot_ev_per_atom": -6.49,
  "relative_energy_ev_per_atom": 0.000,
  "formation_enthalpy_0k_ev_per_atom": 0.465,
  "magmom_total_mub_per_cell": 0.0
}



[8]
{
  "formula": "LaGd3Al4",
  "functional": "PBE",
  "state": "optimized geometry",
  "lattice": [[5.933, 0.000, 0.000], [0.000, 5.670, 0.000], [-1.090, 0.000, 5.844]],
  "species": ["La", "Gd", "Gd", "Gd", "Al", "Al", "Al", "Al"],
  "frac_coords": [[0.000, 0.000, 0.000], [0.324, 0.500, 0.046], [0.635, 0.000, 0.356], [0.683, 0.500, 0.677], [0.164, 0.251, 0.519], [0.164, 0.749, 0.519], [0.469, 0.000, 0.822], [0.850, 0.500, 0.214]],
  "e_tot_ev_per_atom": -4.64,
  "magmom_total_mub_per_cell": 0.0
}



[9]
{
  "formula": "CoAsPt2",
  "functional": "PBE",
  "state": "optimized geometry",
  "lattice": [[0.000, 3.111, 3.111], [3.111, 0.000, 3.111], [3.111, 3.111, 0.000]],
  "species": ["Co", "As", "Pt", "Pt"],
  "frac_coords": [[0.000, 0.000, 0.000], [0.750, 0.750, 0.750], [0.250, 0.250, 0.250], [0.500, 0.500, 0.500]],
  "e_tot_ev_per_atom": -5.86,
  "magmom_total_mub_per_cell": 1.7
}



[10]
{
  "formula": "Be2GeW",
  "functional": "PBE",
  "state": "optimized geometry",
  "lattice": [[0.000, 2.938, 2.938], [2.938, 0.000, 2.938], [2.938, 2.938, 0.000]],
  "species": ["Be", "Be", "Ge", "W"],
  "frac_coords": [[0.000, 0.000, 0.000], [0.250, 0.250, 0.250], [0.500, 0.500, 0.500], [0.750, 0.750, 0.750]],
  "e_tot_ev_per_atom": -5.63,
  "magmom_total_mub_per_cell": 0.0
}



[11]
{
  "formula": "TbTm2Al3Si2Ir",
  "functional": "PBE",
  "state": "optimized geometry",
  "lattice": [[4.204, 0.000, 0.000], [0.000, 5.957, 3.428], [0.000, -5.957, 3.428]],
  "species": ["Tb", "Tm", "Tm", "Al", "Al", "Al", "Si", "Si", "Ir"],
  "frac_coords": [[0.000, 0.000, 0.000], [0.000, 0.417, 0.833], [0.000, 0.833, 0.417], [0.500, 0.184, 0.418], [0.500, 0.418, 0.184], [0.500, 0.651, 0.651], [0.500, 0.086, 0.749], [0.500, 0.749, 0.086], [0.000, 0.422, 0.422]],
  "e_tot_ev_per_atom": -5.81,
  "magmom_total_mub_per_cell": 0.0
}



[12]
{
  "formula": "RbHoSeO",
  "functional": "PBE",
  "state": "optimized geometry",
  "lattice": [[1.891, 1.092, 7.391], [-1.891, 1.092, 7.391], [0.000, -2.184, 7.391]],
  "species": ["Rb", "Ho", "Se", "O"],
  "frac_coords": [[0.000, 0.000, 0.000], [0.521, 0.521, 0.521], [0.774, 0.774, 0.774], [0.230, 0.230, 0.230]],
  "e_tot_ev_per_atom": -5.57,
  "relative_energy_ev_per_atom": 0.157,
  "magmom_total_mub_per_cell": 0.0
}



- Which formula does entry 3 have?
  BeZnSO